VASP calculation (PBE) on a relaxed CaYC2O6 crystal.

Uncorrected energy (eV for the cell shown): -155.0
Total magnetic moment (μB per atom): 0.102

Lattice parameters (Å, degrees): 6.3198 6.3198 6.8672 100.78 100.78 105.34
Fractional positions:
1 Ca 0.0987 0.9013 0.7500
2 Ca 0.9013 0.0987 0.2500
3 Y 0.4245 0.5755 0.2500
4 Y 0.5755 0.4245 0.7500
5 C 0.1008 0.4017 0.7643
6 C 0.4017 0.1008 0.2643
7 C 0.5983 0.8992 0.7357
8 C 0.8992 0.5983 0.2357
9 O 0.0555 0.4960 0.2592
10 O 0.1053 0.2333 0.6191
11 O 0.2333 0.1053 0.1191
12 O 0.2974 0.5154 0.9020
13 O 0.4846 0.7026 0.5980
14 O 0.4960 0.0555 0.7592
15 O 0.5040 0.9445 0.2408
16 O 0.5154 0.2974 0.4020
17 O 0.7026 0.4846 0.0980
18 O 0.7667 0.8947 0.8809
19 O 0.8947 0.7667 0.3809
20 O 0.9445 0.5040 0.7408